Here is a relaxed Ca8Cd2Pt crystal from the Alexandria database. Energies are from GGA-PBE.

Properties
The calculation puts the total DFT energy (no corrections) at -27.47 eV for the cell shown. The calculation puts the size of the total moment at 0.00 μB/cell. For the formation energy, the calculation gives -0.326 eV/atom.

Lattice parameters (Å, degrees): 9.8849 9.8849 7.2026 107.38 107.38 31.99
Closest atoms and distances in Å follow each position.
Element x y z (fractional)
Ca1 0.0233 0.0233 0.2946  2 Pt 3.20, 1 Cd 3.25, 5 Ca 3.34-3.57
Ca2 0.2091 0.2091 0.7992  3 Cd 3.22-3.44
Ca3 0.3509 0.3509 0.5415  1 Pt 2.94
Ca4 0.4085 0.4085 0.0811  1 Pt 2.98
Ca5 0.5915 0.5915 0.9189  1 Pt 2.98
Ca6 0.6491 0.6491 0.4585  1 Pt 2.94
Ca7 0.7909 0.7909 0.2008  3 Cd 3.22-3.44
Ca8 0.9767 0.9767 0.7054  2 Pt 3.20, 1 Cd 3.25, 5 Ca 3.34-3.57
Cd1 0.1831 0.1831 0.2199  9 Ca 3.22-3.58
Cd2 0.8169 0.8169 0.7801  9 Ca 3.22-3.58
Pt1 0.5000 0.5000 0.5000  8 Ca 2.94-3.20